The following is a DFT calculation (PBE) of an optimized crystal structure of La5Tb2.

Computed properties:
calculated formation energy = 2 kJ/mol of atoms
DOS at the Fermi energy = 27.04 states/eV/cell

abc: 11.614 5.236 8.251
angles: 90.00 98.31 90.00
Atoms (fractional coordinates):
La: 0.000 0.000 0.000
La: 0.072 0.500 0.718
La: 0.143 0.000 0.431
La: 0.357 0.500 0.569
La: 0.428 0.000 0.282
La: 0.500 0.500 0.000
La: 0.572 0.000 0.718
La: 0.643 0.500 0.431
La: 0.857 0.000 0.569
La: 0.928 0.500 0.282
Tb: 0.215 0.500 0.141
Tb: 0.285 0.000 0.859
Tb: 0.715 0.000 0.141
Tb: 0.785 0.500 0.859

=====

The following is a DFT calculation (PBE) of an optimized crystal structure of SbRuS3.

Computed properties:
DOS at the Fermi energy = 5.60 states/eV/cell
E_form (uncorrected) = 30 kJ/mol of atoms

abc: 4.626 4.626 4.626
angles: 90.00 90.00 90.00
Atoms (fractional coordinates):
Sb: 0.000 0.000 0.000
Ru: 0.500 0.500 0.500
S: 0.000 0.500 0.500
S: 0.500 0.000 0.500
S: 0.500 0.500 0.000

=====

The following is a DFT calculation (PBE) of an optimized crystal structure of ScAgN2.

Computed properties:
DOS at the Fermi energy = 16.60 states/eV/cell
E_form (uncorrected) = 14 kJ/mol of atoms

abc: 4.763 4.763 10.487
angles: 90.00 90.00 90.00
Atoms (fractional coordinates):
Sc: 0.000 0.000 0.000
Sc: 0.000 0.500 0.250
Sc: 0.500 0.000 0.750
Sc: 0.500 0.500 0.500
Ag: 0.000 0.000 0.500
Ag: 0.000 0.500 0.750
Ag: 0.500 0.000 0.250
Ag: 0.500 0.500 0.000
N: 0.236 0.250 0.125
N: 0.250 0.736 0.375
N: 0.250 0.764 0.875
N: 0.264 0.250 0.625
N: 0.736 0.750 0.625
N: 0.750 0.236 0.875
N: 0.750 0.264 0.375
N: 0.764 0.750 0.125

=====

The following is a DFT calculation (PBE) of an optimized crystal structure of LaPr4Nd10.

Computed properties:
calculated formation energy = 37 kJ/mol of atoms
DOS at the Fermi energy = 26.34 states/eV/cell

abc: 9.057 9.057 9.057
angles: 112.28 112.28 104.00
Atoms (fractional coordinates):
La: 0.000 0.000 0.000
Pr: 0.217 0.558 0.775
Pr: 0.442 0.217 0.659
Pr: 0.558 0.783 0.341
Pr: 0.783 0.442 0.225
Nd: 0.049 0.946 0.657
Nd: 0.054 0.711 0.103
Nd: 0.250 0.750 0.500
Nd: 0.289 0.392 0.343
Nd: 0.392 0.049 0.103
Nd: 0.608 0.951 0.897
Nd: 0.711 0.608 0.657
Nd: 0.750 0.250 0.500
Nd: 0.946 0.289 0.897
Nd: 0.951 0.054 0.343

=====

The following is a DFT calculation (PBE) of an optimized crystal structure of Li3Pm2ScSe6.

Computed properties:
E_form (uncorrected) = -158 kJ/mol of atoms

abc: 7.073 7.073 6.894
angles: 99.77 99.77 120.05
Atoms (fractional coordinates):
Li: 0.000 0.000 0.000
Li: 0.339 0.661 0.000
Li: 0.661 0.339 0.000
Pm: 0.167 0.833 0.500
Pm: 0.833 0.167 0.500
Sc: 0.500 0.500 0.500
Se: 0.101 0.416 0.246
Se: 0.268 0.268 0.750
Se: 0.416 0.101 0.246
Se: 0.584 0.899 0.754
Se: 0.732 0.732 0.250
Se: 0.899 0.584 0.754

=====

The following is a DFT calculation (PBE) of an optimized crystal structure of SrSiAs2Br.

Computed properties:
DOS at the Fermi energy = 2.26 states/eV/cell
E_form (uncorrected) = -31 kJ/mol of atoms

abc: 4.702 4.702 6.466
angles: 90.00 90.00 90.00
Atoms (fractional coordinates):
Sr: 0.000 0.000 0.000
Si: 0.000 0.000 0.500
As: 0.000 0.500 0.500
As: 0.500 0.000 0.500
Br: 0.500 0.500 0.000

=====

The following is a DFT calculation (PBE) of an optimized crystal structure of PmHfRe4.

Computed properties:
calculated formation energy = -10 kJ/mol of atoms
DOS at the Fermi energy = 9.70 states/eV/cell

abc: 5.388 5.388 5.388
angles: 60.00 60.00 60.00
Atoms (fractional coordinates):
Pm: 0.000 0.000 0.000
Hf: 0.750 0.750 0.750
Re: 0.375 0.375 0.375
Re: 0.375 0.375 0.874
Re: 0.375 0.874 0.375
Re: 0.874 0.375 0.375

=====

The following is a DFT calculation (PBE) of an optimized crystal structure of KOsPt2.

Computed properties:
calculated formation energy = 38 kJ/mol of atoms
DOS at the Fermi energy = 10.62 states/eV/cell

abc: 2.804 2.804 30.543
angles: 90.00 90.00 120.00
Atoms (fractional coordinates):
K: 0.000 0.000 0.000
K: 0.333 0.667 0.667
K: 0.667 0.333 0.333
Os: 0.000 0.000 0.500
Os: 0.333 0.667 0.167
Os: 0.667 0.333 0.833
Pt: 0.000 0.000 0.240
Pt: 0.000 0.000 0.760
Pt: 0.333 0.667 0.426
Pt: 0.333 0.667 0.907
Pt: 0.667 0.333 0.093
Pt: 0.667 0.333 0.574

=====

Total magnetic moment for the records above, in order: 0.000; 0.000; 0.000; 0.000; 0.000; 0.000; 0.000; 0.000 μB per atom